No. 1
DFT (GGA-PBE) results for a relaxed structure of MgAg8Hg2.

Its distance to the lowest polymorph of the same formula is 2.316 kcal/mol of atoms. As for the final energy: -2.196 eV/atom.

Cell lengths 7.6441, 13.2993, 4.8630 Å; angles 90.00, 117.04, 90.00 degrees
Space group C2/m (No. 12)
Unique sites:
Mg: 0.0000 0.0000 0.0000 x2
Ag: 0.0000 0.2027 0.0000 x4
Ag: 0.0963 0.5000 0.8145 x4
Ag: 0.2047 0.1103 0.6392 x8
Hg: 0.0000 0.3080 0.5000 x4

No. 2
DFT (GGA-PBE) results for a relaxed structure of Mg6Ag2Hg.

As for the final energy: -1.877 eV/atom.

Cell lengths 8.7031, 8.9578, 9.8840 Å; angles 90.00, 90.00, 90.00 degrees
Space group Immm (No. 71)
Unique sites:
Mg: 0.0000 0.2131 0.1644 x8
Mg: 0.1870 0.2118 0.5000 x8
Mg: 0.1942 0.5000 0.2489 x8
Ag: 0.0000 0.0000 0.3587 x4
Ag: 0.1640 0.0000 0.0000 x4
Hg: 0.0000 0.5000 0.0000 x2
Hg: 0.0000 0.5000 0.5000 x2

Number 1: DOS(E_F) 3.11 states/eV/f.u., volume 20.0 Å³ per atom, energy of formation 0.08 eV per atom. Number 2: DOS(E_F) 2.49 states/eV/f.u., volume 21.4 Å³ per atom, energy of formation -0.15 eV per atom.